[1]
A plane-wave DFT calculation with PBE was carried out for crystalline AlSn at its relaxed geometry.

```
12
Lattice="10.236 0.000 0.000 -5.118 8.864 0.000 0.000 0.000 3.258" Properties=species:S:1:pos:R:3 pbc="T T T"
Al 5.533 1.404 0.815
Al 1.551 5.494 2.444
Al 6.253 4.090 0.815
Al -0.416 7.460 2.444
Al 3.567 3.370 0.815
Al -1.135 4.774 2.444
Sn 8.595 2.340 0.815
Sn 2.271 8.613 2.444
Sn 3.912 6.273 0.815
Sn -3.477 6.524 2.444
Sn 2.847 0.251 0.815
Sn 1.206 2.591 2.444
```

Properties
As for the crystal system: hexagonal. The space group is P6_3/m. Its calculated volume is 295.6 Å³/cell. The calculated formation energy is 0.201 eV/atom. The total energy comes out at -3.671 eV/atom.


[2]
A plane-wave DFT calculation with PBE was carried out for crystalline AlSn at its relaxed geometry.

```
2
Lattice="-3.152 -2.356 -1.629 2.472 -1.896 -1.140 -0.775 -1.544 2.832" Properties=species:S:1:pos:R:3 pbc="T T T"
Sn -1.597 -4.731 -0.651
Al -0.869 -1.833 -0.682
```

Properties
As for the crystal system: monoclinic. The space group is C2/m. Its calculated volume is 45.5 Å³/cell. The calculated formation energy is 0.176 eV/atom. The total energy comes out at -3.697 eV/atom.